# LiTmThCo PBE optimized geometry
data_LiTmThCo
_symmetry_space_group_name_H-M 'F -4 3 m'
_symmetry_Int_Tables_number 216
_symmetry_space_group_name_Hall 'F -4 2 3'
_cell_length_a 6.946
_cell_length_b 6.946
_cell_length_c 6.946
_cell_angle_alpha 90.00
_cell_angle_beta 90.00
_cell_angle_gamma 90.00
loop_
_atom_site_label
_atom_site_type_symbol
_atom_site_fract_x
_atom_site_fract_y
_atom_site_fract_z
_atom_site_occupancy
Li1 Li 0.000 0.000 0.000 1
Tm1 Tm 0.250 0.250 0.250 1
Th1 Th 0.250 0.250 0.750 1
Co1 Co 0.000 0.000 0.500 1
# - total DFT energy (no corrections) (eV per atom) = -5.2463
# - DOS(E_F) (states/eV per cell) = 15.566